[1]
! MnOF (PBEsol, optimized geometry); values from VASP
&SYSTEM
  ibrav = 0, nat = 12, ntyp = 3
/
ATOMIC_SPECIES
Mn 54.94 Mn.upf
O 16.00 O.upf
F 19.00 F.upf
ATOMIC_POSITIONS crystal
Mn 0.0302 0.0302 0.0000
Mn 0.4698 0.5302 0.2500
Mn 0.5302 0.4698 0.7500
Mn 0.9698 0.9698 0.5000
O 0.1770 0.8230 0.2500
O 0.3230 0.3230 0.0000
O 0.6770 0.6770 0.5000
O 0.8230 0.1770 0.7500
F 0.2254 0.7746 0.7500
F 0.2746 0.2746 0.5000
F 0.7254 0.7254 0.0000
F 0.7746 0.2254 0.2500
CELL_PARAMETERS angstrom
4.5540 0.0000 0.0000
0.0000 4.5540 0.0000
0.0000 0.0000 6.1251
! - Crystal system: tetragonal
! - N(E_F): 0.64 states/eV/f.u.
! - Formation energy without anion corrections: -186.2 kJ per mole of atoms

[2]
! SrOsPb2 (PBEsol, optimized geometry); values from VASP
&SYSTEM
  ibrav = 0, nat = 4, ntyp = 3
/
ATOMIC_SPECIES
Sr 87.62 Sr.upf
Os 190.23 Os.upf
Pb 207.20 Pb.upf
ATOMIC_POSITIONS crystal
Sr 0.0000 0.0000 0.0000
Os 0.0000 0.0000 0.5000
Pb 0.5000 0.5000 0.2998
Pb 0.5000 0.5000 0.7002
CELL_PARAMETERS angstrom
3.4147 0.0000 0.0000
0.0000 3.4147 0.0000
0.0000 0.0000 8.1212
! - Crystal system: tetragonal
! - N(E_F): 2.93 states/eV/f.u.
! - ΔE_f: 0.297 eV/atom

[3]
! Tb2SbO2 (PBEsol, optimized geometry); values from VASP
&SYSTEM
  ibrav = 0, nat = 5, ntyp = 3
/
ATOMIC_SPECIES
Tb 158.93 Tb.upf
Sb 121.76 Sb.upf
O 16.00 O.upf
ATOMIC_POSITIONS crystal
Tb 0.1646 0.1646 0.0000
Tb 0.8354 0.8354 0.0000
Sb 0.5000 0.5000 0.0000
O 0.2500 0.7500 0.5000
O 0.7500 0.2500 0.5000
CELL_PARAMETERS angstrom
-1.9090 1.9090 6.5971
1.9090 -1.9090 6.5971
1.9090 1.9090 -6.5971
! - Crystal system: tetragonal
! - N(E_F): 0.71 states/eV/f.u.
! - Formation energy without anion corrections: -267.3 kJ per mole of atoms

[4]
! GaRe2BiIr (PBEsol, optimized geometry); values from VASP
&SYSTEM
  ibrav = 0, nat = 5, ntyp = 4
/
ATOMIC_SPECIES
Ga 69.72 Ga.upf
Re 186.21 Re.upf
Bi 208.98 Bi.upf
Ir 192.22 Ir.upf
ATOMIC_POSITIONS crystal
Ga 0.0000 0.0000 0.0000
Re 0.0000 0.5000 0.5000
Re 0.5000 0.0000 0.5000
Bi 0.0000 0.0000 0.5000
Ir 0.5000 0.5000 0.0000
CELL_PARAMETERS angstrom
4.8996 0.0000 0.0000
0.0000 4.8996 0.0000
0.0000 0.0000 4.9196
! - Crystal system: tetragonal
! - N(E_F): 8.47 states/eV/f.u.
! - ΔE_f: 3.248 eV/atom

[5]
! Zr2CrNi (PBEsol, optimized geometry); values from VASP
&SYSTEM
  ibrav = 0, nat = 4, ntyp = 3
/
ATOMIC_SPECIES
Zr 91.22 Zr.upf
Cr 52.00 Cr.upf
Ni 58.69 Ni.upf
ATOMIC_POSITIONS crystal
Zr 0.2500 0.2500 0.2500
Zr 0.7500 0.7500 0.7500
Cr 0.0000 0.0000 0.0000
Ni 0.5000 0.5000 0.5000
CELL_PARAMETERS angstrom
0.0000 3.1671 3.1671
3.1671 0.0000 3.1671
3.1671 3.1671 0.0000
! - Crystal system: cubic
! - N(E_F): 3.70 states/eV/f.u.
! - ΔE_f: -0.057 eV/atom

[6]
! MnMoRu3 (PBEsol, optimized geometry); values from VASP
&SYSTEM
  ibrav = 0, nat = 5, ntyp = 3
/
ATOMIC_SPECIES
Mn 54.94 Mn.upf
Mo 95.94 Mo.upf
Ru 101.07 Ru.upf
ATOMIC_POSITIONS crystal
Mn 0.0000 0.0000 0.0000
Mo 0.5000 0.5000 0.5000
Ru 0.0000 0.5000 0.5000
Ru 0.5000 0.0000 0.5000
Ru 0.5000 0.5000 0.0000
CELL_PARAMETERS angstrom
4.5392 0.0000 0.0000
0.0000 4.5392 0.0000
0.0000 0.0000 4.5392
! - Crystal system: cubic
! - N(E_F): 7.97 states/eV/f.u.
! - ΔE_f: 1.741 eV/atom

[7]
! SrAsIrBr2 (PBEsol, optimized geometry); values from VASP
&SYSTEM
  ibrav = 0, nat = 5, ntyp = 4
/
ATOMIC_SPECIES
Sr 87.62 Sr.upf
As 74.92 As.upf
Ir 192.22 Ir.upf
Br 79.90 Br.upf
ATOMIC_POSITIONS crystal
Sr 0.0000 0.0000 0.0000
As 0.5000 0.5000 0.0000
Ir 0.5000 0.5000 0.5000
Br 0.0000 0.5000 0.5000
Br 0.5000 0.0000 0.5000
CELL_PARAMETERS angstrom
5.2594 0.0000 0.0000
0.0000 5.2594 0.0000
0.0000 0.0000 4.6715
! - Crystal system: tetragonal
! - N(E_F): 1.85 states/eV/f.u.
! - Formation energy without anion corrections: -45.4 kJ per mole of atoms

[8]
! CaHfCrF2 (PBEsol, optimized geometry); values from VASP
&SYSTEM
  ibrav = 0, nat = 5, ntyp = 4
/
ATOMIC_SPECIES
Ca 40.08 Ca.upf
Hf 178.49 Hf.upf
Cr 52.00 Cr.upf
F 19.00 F.upf
ATOMIC_POSITIONS crystal
Ca 0.0000 0.0000 0.0000
Hf 0.5000 0.5000 0.5000
Cr 0.0000 0.0000 0.5000
F 0.0000 0.5000 0.0000
F 0.5000 0.0000 0.0000
CELL_PARAMETERS angstrom
4.0907 0.0000 0.0000
0.0000 4.0907 0.0000
0.0000 0.0000 6.6145
! - Crystal system: tetragonal
! - N(E_F): 4.38 states/eV/f.u.
! - Formation energy without anion corrections: -89.4 kJ per mole of atoms

[9]
! In3AsS (PBEsol, optimized geometry); values from VASP
&SYSTEM
  ibrav = 0, nat = 5, ntyp = 3
/
ATOMIC_SPECIES
In 114.82 In.upf
As 74.92 As.upf
S 32.06 S.upf
ATOMIC_POSITIONS crystal
In 0.0000 0.0000 0.5000
In 0.0000 0.5000 0.0000
In 0.5000 0.0000 0.0000
As 0.0000 0.0000 0.0000
S 0.5000 0.5000 0.5000
CELL_PARAMETERS angstrom
5.3261 0.0000 0.0000
0.0000 5.3261 0.0000
0.0000 0.0000 5.3261
! - Crystal system: cubic
! - N(E_F): 1.89 states/eV/f.u.
! - Formation energy without anion corrections: 36.2 kJ per mole of atoms

[10]
! KMg2Nb (PBEsol, optimized geometry); values from VASP
&SYSTEM
  ibrav = 0, nat = 4, ntyp = 3
/
ATOMIC_SPECIES
K 39.10 K.upf
Mg 24.30 Mg.upf
Nb 92.91 Nb.upf
ATOMIC_POSITIONS crystal
K 0.0000 0.0000 0.0000
Mg 0.2500 0.2500 0.2500
Mg 0.7500 0.7500 0.7500
Nb 0.5000 0.5000 0.5000
CELL_PARAMETERS angstrom
0.0000 3.7090 3.7090
3.7090 0.0000 3.7090
3.7090 3.7090 0.0000
! - Crystal system: cubic
! - N(E_F): 5.93 states/eV/f.u.
! - ΔE_f: 0.935 eV/atom

[11]
! Ba3CoRh (PBEsol, optimized geometry); values from VASP
&SYSTEM
  ibrav = 0, nat = 5, ntyp = 3
/
ATOMIC_SPECIES
Ba 137.33 Ba.upf
Co 58.93 Co.upf
Rh 102.91 Rh.upf
ATOMIC_POSITIONS crystal
Ba 0.0000 0.0000 0.5000
Ba 0.0000 0.5000 0.0000
Ba 0.5000 0.0000 0.0000
Co 0.0000 0.0000 0.0000
Rh 0.5000 0.5000 0.5000
CELL_PARAMETERS angstrom
5.4141 0.0000 0.0000
0.0000 5.4141 0.0000
0.0000 0.0000 5.4141
! - Crystal system: cubic
! - N(E_F): 2.34 states/eV/f.u.
! - ΔE_f: 0.583 eV/atom

[12]
! BaP3Os (PBEsol, optimized geometry); values from VASP
&SYSTEM
  ibrav = 0, nat = 5, ntyp = 3
/
ATOMIC_SPECIES
Ba 137.33 Ba.upf
P 30.97 P.upf
Os 190.23 Os.upf
ATOMIC_POSITIONS crystal
Ba 0.0000 0.0000 0.0000
P 0.0000 0.5000 0.5000
P 0.5000 0.0000 0.5000
P 0.5000 0.5000 0.0000
Os 0.5000 0.5000 0.5000
CELL_PARAMETERS angstrom
4.7168 0.0000 0.0000
0.0000 4.7168 0.0000
0.0000 0.0000 4.7168
! - Crystal system: cubic
! - N(E_F): 5.08 states/eV/f.u.
! - ΔE_f: -0.006 eV/atom

[13]
! CrRhOF2 (PBEsol, optimized geometry); values from VASP
&SYSTEM
  ibrav = 0, nat = 5, ntyp = 4
/
ATOMIC_SPECIES
Cr 52.00 Cr.upf
Rh 102.91 Rh.upf
O 16.00 O.upf
F 19.00 F.upf
ATOMIC_POSITIONS crystal
Cr 0.0000 0.0000 0.0000
Rh 0.5000 0.5000 0.5000
O 0.5000 0.5000 0.0000
F 0.0000 0.5000 0.5000
F 0.5000 0.0000 0.5000
CELL_PARAMETERS angstrom
4.2713 0.0000 0.0000
0.0000 4.2713 0.0000
0.0000 0.0000 3.6697
! - Crystal system: tetragonal
! - N(E_F): 7.60 states/eV/f.u.
! - Formation energy without anion corrections: -54.4 kJ per mole of atoms

[14]
! LiPb3W (PBEsol, optimized geometry); values from VASP
&SYSTEM
  ibrav = 0, nat = 5, ntyp = 3
/
ATOMIC_SPECIES
Li 6.94 Li.upf
Pb 207.20 Pb.upf
W 183.84 W.upf
ATOMIC_POSITIONS crystal
Li 0.0000 0.0000 0.0000
Pb 0.0000 0.5000 0.5000
Pb 0.5000 0.0000 0.5000
Pb 0.5000 0.5000 0.0000
W 0.5000 0.5000 0.5000
CELL_PARAMETERS angstrom
5.3861 0.0000 0.0000
0.0000 5.3861 0.0000
0.0000 0.0000 5.3861
! - Crystal system: cubic
! - N(E_F): 1.69 states/eV/f.u.
! - ΔE_f: 0.583 eV/atom

[15]
! BaB2O4 (PBEsol, optimized geometry); values from VASP
&SYSTEM
  ibrav = 0, nat = 42, ntyp = 3
/
ATOMIC_SPECIES
Ba 137.33 Ba.upf
B 10.81 B.upf
O 16.00 O.upf
ATOMIC_POSITIONS crystal
Ba 0.1509 0.1509 0.1509
Ba 0.2500 0.2500 0.2500
Ba 0.3491 0.3491 0.3491
Ba 0.6509 0.6509 0.6509
Ba 0.7500 0.7500 0.7500
Ba 0.8491 0.8491 0.8491
B 0.0020 0.2500 0.8601
B 0.1399 0.9980 0.7500
B 0.2500 0.4980 0.6399
B 0.2500 0.8601 0.0020
B 0.3601 0.7500 0.5020
B 0.4980 0.6399 0.2500
B 0.5020 0.3601 0.7500
B 0.6399 0.2500 0.4980
B 0.7500 0.1399 0.9980
B 0.7500 0.5020 0.3601
B 0.8601 0.0020 0.2500
B 0.9980 0.7500 0.1399
O 0.0281 0.5554 0.3092
O 0.0554 0.5281 0.8092
O 0.0722 0.8317 0.2107
O 0.1683 0.7893 0.9278
O 0.1908 0.9446 0.4719
O 0.2107 0.0722 0.8317
O 0.2893 0.6683 0.4278
O 0.3092 0.0281 0.5554
O 0.3317 0.5722 0.7107
O 0.4278 0.2893 0.6683
O 0.4446 0.6908 0.9719
O 0.4719 0.1908 0.9446
O 0.5281 0.8092 0.0554
O 0.5554 0.3092 0.0281
O 0.5722 0.7107 0.3317
O 0.6683 0.4278 0.2893
O 0.6908 0.9719 0.4446
O 0.7107 0.3317 0.5722
O 0.7893 0.9278 0.1683
O 0.8092 0.0554 0.5281
O 0.8317 0.2107 0.0722
O 0.9278 0.1683 0.7893
O 0.9446 0.4719 0.1908
O 0.9719 0.4446 0.6908
CELL_PARAMETERS angstrom
3.6182 2.0890 13.1412
-3.6182 2.0890 13.1412
0.0000 -4.1780 13.1412
! - Crystal system: trigonal
! - N(E_F): 0.00 states/eV/f.u.
! - Formation energy without anion corrections: -259.8 kJ per mole of atoms

[16]
! Ba3MgSi (PBEsol, optimized geometry); values from VASP
&SYSTEM
  ibrav = 0, nat = 5, ntyp = 3
/
ATOMIC_SPECIES
Ba 137.33 Ba.upf
Mg 24.30 Mg.upf
Si 28.09 Si.upf
ATOMIC_POSITIONS crystal
Ba 0.0000 0.0000 0.5000
Ba 0.0000 0.5000 0.0000
Ba 0.5000 0.0000 0.0000
Mg 0.5000 0.5000 0.5000
Si 0.0000 0.0000 0.0000
CELL_PARAMETERS angstrom
6.3323 0.0000 0.0000
0.0000 6.3323 0.0000
0.0000 0.0000 6.3323
! - Crystal system: cubic
! - N(E_F): 8.88 states/eV/f.u.
! - Formation energy without anion corrections: 6.7 kJ per mole of atoms

[17]
! Na3MnZn (PBEsol, optimized geometry); values from VASP
&SYSTEM
  ibrav = 0, nat = 5, ntyp = 3
/
ATOMIC_SPECIES
Na 22.99 Na.upf
Mn 54.94 Mn.upf
Zn 65.41 Zn.upf
ATOMIC_POSITIONS crystal
Na 0.0000 0.0000 0.5000
Na 0.0000 0.5000 0.0000
Na 0.5000 0.0000 0.0000
Mn 0.0000 0.0000 0.0000
Zn 0.5000 0.5000 0.5000
CELL_PARAMETERS angstrom
5.6778 0.0000 0.0000
0.0000 5.6778 0.0000
0.0000 0.0000 5.6778
! - Crystal system: cubic
! - N(E_F): 5.61 states/eV/f.u.
! - ΔE_f: 0.992 eV/atom

[18]
! Li4Co3Cu3W2O16 (PBEsol, optimized geometry); values from VASP
&SYSTEM
  ibrav = 0, nat = 28, ntyp = 5
/
ATOMIC_SPECIES
Li 6.94 Li.upf
Co 58.93 Co.upf
Cu 63.55 Cu.upf
W 183.84 W.upf
O 16.00 O.upf
ATOMIC_POSITIONS crystal
Li 0.0000 0.0000 0.0000
Li 0.0117 0.0117 0.5035
Li 0.3328 0.3328 0.4162
Li 0.6484 0.6484 0.9220
Co 0.1692 0.1692 0.7290
Co 0.3388 0.8343 0.2258
Co 0.8343 0.3388 0.2258
Cu 0.1720 0.6619 0.7247
Cu 0.6619 0.1720 0.7247
Cu 0.8343 0.8343 0.2256
W 0.3214 0.3214 0.0050
W 0.6732 0.6732 0.4995
O 0.0087 0.0087 0.8084
O 0.0107 0.0107 0.3136
O 0.0196 0.4507 0.8691
O 0.1661 0.1661 0.1204
O 0.1781 0.6618 0.1009
O 0.3222 0.3222 0.6347
O 0.3590 0.8560 0.6009
O 0.4507 0.0196 0.8691
O 0.4663 0.4663 0.8673
O 0.5043 0.9656 0.3550
O 0.5239 0.5239 0.3432
O 0.6588 0.6588 0.1308
O 0.6618 0.1781 0.1009
O 0.8446 0.8446 0.5862
O 0.8560 0.3590 0.6009
O 0.9656 0.5043 0.3550
CELL_PARAMETERS angstrom
5.0759 -2.8394 0.0000
5.0759 2.8394 0.0000
-0.6856 0.0000 9.4201
! - Crystal system: monoclinic
! - N(E_F): 11.39 states/eV/f.u.
! - Formation energy without anion corrections: -140.8 kJ per mole of atoms

[19]
! LaFeMo2 (PBEsol, optimized geometry); values from VASP
&SYSTEM
  ibrav = 0, nat = 4, ntyp = 3
/
ATOMIC_SPECIES
La 138.91 La.upf
Fe 55.84 Fe.upf
Mo 95.94 Mo.upf
ATOMIC_POSITIONS crystal
La 0.0000 0.0000 0.0000
Fe 0.7372 0.2372 0.5000
Mo 0.2702 0.7702 0.5000
Mo 0.5008 0.5008 0.0000
CELL_PARAMETERS angstrom
-1.6148 2.4810 4.3335
1.6148 -2.4810 4.3335
1.6148 2.4810 -4.3335
! - Crystal system: orthorhombic
! - N(E_F): 4.38 states/eV/f.u.
! - ΔE_f: 0.690 eV/atom

[20]
! CdNiPb (PBEsol, optimized geometry); values from VASP
&SYSTEM
  ibrav = 0, nat = 3, ntyp = 3
/
ATOMIC_SPECIES
Cd 112.41 Cd.upf
Ni 58.69 Ni.upf
Pb 207.20 Pb.upf
ATOMIC_POSITIONS crystal
Cd 0.0000 0.0000 0.0000
Ni 0.3333 0.6667 0.7504
Pb 0.6667 0.3333 0.4803
CELL_PARAMETERS angstrom
4.3067 0.0000 0.0000
-2.1533 3.7297 0.0000
0.0000 0.0000 3.7841
! - Crystal system: trigonal
! - N(E_F): 1.72 states/eV/f.u.
! - ΔE_f: 0.304 eV/atom

[21]
! Sc3CuS (PBEsol, optimized geometry); values from VASP
&SYSTEM
  ibrav = 0, nat = 5, ntyp = 3
/
ATOMIC_SPECIES
Sc 44.96 Sc.upf
Cu 63.55 Cu.upf
S 32.06 S.upf
ATOMIC_POSITIONS crystal
Sc 0.0000 0.0000 0.5000
Sc 0.0000 0.5000 0.0000
Sc 0.5000 0.0000 0.0000
Cu 0.0000 0.0000 0.0000
S 0.5000 0.5000 0.5000
CELL_PARAMETERS angstrom
4.8220 0.0000 0.0000
0.0000 4.8220 0.0000
0.0000 0.0000 4.8220
! - Crystal system: cubic
! - N(E_F): 3.09 states/eV/f.u.
! - Formation energy without anion corrections: -3.9 kJ per mole of atoms

[22]
! MgRu4Cl (PBEsol, optimized geometry); values from VASP
&SYSTEM
  ibrav = 0, nat = 6, ntyp = 3
/
ATOMIC_SPECIES
Mg 24.30 Mg.upf
Ru 101.07 Ru.upf
Cl 35.45 Cl.upf
ATOMIC_POSITIONS crystal
Mg 0.0000 0.0000 0.0000
Ru 0.3755 0.3755 0.3755
Ru 0.3755 0.3755 0.8736
Ru 0.3755 0.8736 0.3755
Ru 0.8736 0.3755 0.3755
Cl 0.7500 0.7500 0.7500
CELL_PARAMETERS angstrom
0.0000 3.6340 3.6340
3.6340 0.0000 3.6340
3.6340 3.6340 0.0000
! - Crystal system: cubic
! - N(E_F): 8.77 states/eV/f.u.
! - Formation energy without anion corrections: 84.1 kJ per mole of atoms

[23]
! Sc3Si2Ni3 (PBEsol, optimized geometry); values from VASP
&SYSTEM
  ibrav = 0, nat = 16, ntyp = 3
/
ATOMIC_SPECIES
Sc 44.96 Sc.upf
Si 28.09 Si.upf
Ni 58.69 Ni.upf
ATOMIC_POSITIONS crystal
Sc 0.0810 0.9190 0.6059
Sc 0.0810 0.9190 0.8941
Sc 0.3711 0.6289 0.7500
Sc 0.6289 0.3711 0.2500
Sc 0.9190 0.0810 0.1059
Sc 0.9190 0.0810 0.3941
Si 0.2120 0.7880 0.0982
Si 0.2120 0.7880 0.4018
Si 0.7880 0.2120 0.5982
Si 0.7880 0.2120 0.9018
Ni 0.3360 0.6640 0.2500
Ni 0.3806 0.6194 0.5404
Ni 0.3806 0.6194 0.9596
Ni 0.6194 0.3806 0.0404
Ni 0.6194 0.3806 0.4596
Ni 0.6640 0.3360 0.7500
CELL_PARAMETERS angstrom
1.9525 -4.7308 0.0000
1.9525 4.7308 0.0000
0.0000 0.0000 13.0511
! - Crystal system: orthorhombic
! - N(E_F): 5.67 states/eV/f.u.
! - Formation energy without anion corrections: -74.6 kJ per mole of atoms

[24]
! SrCd2ClF (PBEsol, optimized geometry); values from VASP
&SYSTEM
  ibrav = 0, nat = 5, ntyp = 4
/
ATOMIC_SPECIES
Sr 87.62 Sr.upf
Cd 112.41 Cd.upf
Cl 35.45 Cl.upf
F 19.00 F.upf
ATOMIC_POSITIONS crystal
Sr 0.0000 0.0000 0.0000
Cd 0.0000 0.5000 0.0000
Cd 0.5000 0.0000 0.0000
Cl 0.0000 0.0000 0.5000
F 0.5000 0.5000 0.5000
CELL_PARAMETERS angstrom
6.5595 0.0000 0.0000
0.0000 6.5595 0.0000
0.0000 0.0000 5.3208
! - Crystal system: tetragonal
! - N(E_F): 7.96 states/eV/f.u.
! - Formation energy without anion corrections: -48.1 kJ per mole of atoms

[25]
! NbRuF3 (PBEsol, optimized geometry); values from VASP
&SYSTEM
  ibrav = 0, nat = 5, ntyp = 3
/
ATOMIC_SPECIES
Nb 92.91 Nb.upf
Ru 101.07 Ru.upf
F 19.00 F.upf
ATOMIC_POSITIONS crystal
Nb 0.0000 0.0000 0.0000
Ru 0.5000 0.5000 0.5000
F 0.0000 0.5000 0.5000
F 0.5000 0.0000 0.5000
F 0.5000 0.5000 0.0000
CELL_PARAMETERS angstrom
4.1477 0.0000 0.0000
0.0000 4.1477 0.0000
0.0000 0.0000 4.1477
! - Crystal system: cubic
! - N(E_F): 6.98 states/eV/f.u.
! - Formation energy without anion corrections: -15.0 kJ per mole of atoms

Values for calculated density, Mg/m³, ordered as above
4.70; 12.14; 8.14; 11.86; 7.66; 8.06; 6.61; 4.63; 4.96; 2.94; 6.00; 6.65; 5.18; 8.63; 3.73; 3.04; 1.72; 6.23; 9.24; 10.34; 3.41; 8.03; 5.06; 2.66; 5.84